# 1
## Gd3OsN (PBE-GGA)

Data for crystalline Gd3OsN at its relaxed geometry.

a = 4.7322 Å, b = 4.7322 Å, c = 4.7322 Å
α = 90.00°, β = 90.00°, γ = 90.00°
Closest atoms and distances in Å follow each position.
Sites, in units of the cell vectors:
Gd 0.0000 0.0000 0.5000  2 N 2.37
Gd 0.0000 0.5000 0.0000  2 N 2.37
Gd 0.5000 0.0000 0.0000  2 N 2.37
Os 0.5000 0.5000 0.5000  12 Gd 3.35
N 0.0000 0.0000 0.0000  6 Gd 2.37

Output
Total energy = -64.4 eV/f.u.
E_form (uncorrected) = -2.56 eV per formula unit
SG = Pm-3m

=====

# 2
## Gd2PN (PBE-GGA)

Data for crystalline Gd2PN at its relaxed geometry.

a = 6.6649 Å, b = 6.6649 Å, c = 6.6649 Å
α = 32.69°, β = 32.69°, γ = 32.69°
Closest atoms and distances in Å follow each position.
Sites, in units of the cell vectors:
Gd 0.2397 0.2397 0.2397  3 N 2.57, 3 P 2.80
Gd 0.7603 0.7603 0.7603  3 N 2.57, 3 P 2.80
P 0.0000 0.0000 0.0000  6 Gd 2.80
N 0.5000 0.5000 0.5000  6 Gd 2.57

Output
Total energy = -47.7 eV/f.u.
E_form (uncorrected) = -5.82 eV per formula unit
SG = R-3m

=====

# 3
## GdPN2 (PBE-GGA)

Data for crystalline GdPN2 at its relaxed geometry.

a = 6.9235 Å, b = 6.9235 Å, c = 6.9235 Å
α = 23.97°, β = 23.97°, γ = 23.97°
Closest atoms and distances in Å follow each position.
Sites, in units of the cell vectors:
Gd 0.0000 0.0000 0.0000  2 N 2.42
P 0.5000 0.5000 0.5000  6 N 1.91
N 0.1202 0.1202 0.1202  3 P 1.91
N 0.8798 0.8798 0.8798  3 P 1.91

Output
Total energy = -35.3 eV/f.u.
E_form (uncorrected) = 0.83 eV per formula unit
SG = R-3m

=====

# 4
## GdPa3N (PBE-GGA)

Data for crystalline GdPa3N at its relaxed geometry.

a = 4.8338 Å, b = 4.8338 Å, c = 4.8338 Å
α = 90.00°, β = 90.00°, γ = 90.00°
Closest atoms and distances in Å follow each position.
Sites, in units of the cell vectors:
Gd 0.0000 0.0000 0.0000  12 Pa 3.42
Pa 0.0000 0.5000 0.5000  2 N 2.42
Pa 0.5000 0.0000 0.5000  2 N 2.42
Pa 0.5000 0.5000 0.0000  2 N 2.42
N 0.5000 0.5000 0.5000  6 Pa 2.42

Output
Total energy = -53.3 eV/f.u.
E_form (uncorrected) = -2.41 eV per formula unit
SG = Pm-3m

=====

# 5
## Gd2PdN (PBE-GGA)

Data for crystalline Gd2PdN at its relaxed geometry.

a = 3.2104 Å, b = 3.2104 Å, c = 6.8841 Å
α = 90.00°, β = 90.00°, γ = 90.00°
Closest atoms and distances in Å follow each position.
Sites, in units of the cell vectors:
Gd 0.0000 0.0000 0.2098  4 N 2.69, 1 Gd 2.89
Gd 0.0000 0.0000 0.7902  4 N 2.69, 1 Gd 2.89
Pd 0.5000 0.5000 0.5000  8 Gd 3.02, 4 Pd 3.21
N 0.5000 0.5000 0.0000  8 Gd 2.69

Output
Total energy = -44.4 eV/f.u.
E_form (uncorrected) = -2.72 eV per formula unit
SG = P4/mmm
Energy above the lowest structure with this stoichiometry = 334.7 meV/atom

=====

# 6
## Gd2PdN (PBE-GGA)

Data for crystalline Gd2PdN at its relaxed geometry.

a = 7.3156 Å, b = 7.3156 Å, c = 7.3156 Å
α = 28.39°, β = 28.39°, γ = 28.39°
Closest atoms and distances in Å follow each position.
Sites, in units of the cell vectors:
Gd 0.2329 0.2329 0.2329  3 N 2.50
Gd 0.7671 0.7671 0.7671  3 N 2.50
Pd 0.0000 0.0000 0.0000  6 Gd 2.96
N 0.5000 0.5000 0.5000  6 Gd 2.50

Output
Total energy = -45.7 eV/f.u.
E_form (uncorrected) = -4.06 eV per formula unit
SG = R-3m
Energy above the lowest structure with this stoichiometry = 0.0 meV/atom